No. 1
GGA-PBE Sr3In2Sn4, optimized geometry; density = 5.5 Mg/m³; E = -3.4318 eV per atom; SG = No. 12; ΔE_f = -4.353 eV/f.u.
1.0
-0.107 -1.684 4.422
6.595 0.143 -2.319
-2.526 9.013 3.371
Sr Sn In
3 4 2
Cartesian
-0.227 5.201 4.508
0.000 0.000 0.000
4.188 2.271 0.966
0.093 3.405 1.299
3.868 4.067 4.176
1.496 8.171 3.148
2.465 -0.700 2.326
2.286 5.455 2.133
1.675 2.017 3.341

=====

No. 2
GGA-PBE Sr3In2Sn4, optimized geometry; density = 5.4 Mg/m³; E = -3.4114 eV per atom; SG = No. 12; ΔE_f = -4.169 eV/f.u.
1.0
-6.889 -5.927 1.063
-4.315 -7.718 -2.351
2.164 -5.798 4.674
Sr Sn In
3 4 2
Cartesian
-0.688 -4.265 1.720
-8.352 -15.178 1.668
0.000 0.000 0.000
-4.155 -10.802 2.536
-0.599 -7.325 3.392
-8.440 -12.118 -0.005
-4.884 -8.641 0.852
-1.647 -10.127 4.072
-7.392 -9.316 -0.685